Sm2DyTe | PBE | optimized geometry

Computed properties:
Offset from the most stable computed form = 27.7 meV/atom
VASP energy = -4.839 eV per atom
Energy relative to the elements, uncorrected = -0.543 eV/atom

Cell: 3.9581 3.9581 29.4944 Å, 90.00 90.00 120.00°
Space group R3m (No. 160, hexagonal axes)
Unique sites:
Sm: 0.0000 0.0000 0.0000
Sm: 0.0000 0.0000 0.1884
Dy: 0.0000 0.0000 0.4271
Te: 0.0000 0.0000 0.5942